DFT (GGA+U) results for a relaxed PmFeSeO2 crystal.

## Properties
Density of states at the Fermi level in states/eV per cell: 0.18
Symmetry: Cmcm, No. 63
E in eV per atom: -6.620
Crystal system: orthorhombic

Cell lengths 5.341, 5.404, 6.539 Å; angles 114.41, 90.00, 90.00 degrees
Site moments in Bohr magnetons follow the coordinates.
Fractional coordinates of all 10 atoms:
Pm 0.250 0.617 0.233  0.04
Pm 0.750 0.383 0.767  0.04
Fe 0.250 0.945 0.889  4.24
Fe 0.750 0.055 0.111  4.24
Se 0.750 0.750 0.500  0.11
Se 0.250 0.250 0.500  0.11
O 0.500 0.240 0.000  0.22
O 0.000 0.760 0.000  0.22
O 0.500 0.760 0.000  0.22
O 0.000 0.240 0.000  0.22